Material: MnTlTe2
Method: DFT, PBE
State: relaxed

Lattice parameters (Å, degrees): 7.2928 10.5279 7.4235 90.00 90.00 90.00
Element x y z (fractional)
Mn: 0.0203 0.1238 0.0000
Mn: 0.4797 0.6238 0.5000
Mn: 0.5203 0.3762 0.0000
Mn: 0.9797 0.8762 0.5000
Tl: 0.1438 0.3778 0.4753
Tl: 0.3562 0.8778 0.9753
Tl: 0.6438 0.1222 0.4753
Tl: 0.8562 0.6222 0.9753
Te: 0.0941 0.0871 0.6568
Te: 0.1648 0.6911 0.6484
Te: 0.3352 0.1911 0.1484
Te: 0.4059 0.5871 0.1568
Te: 0.5941 0.4129 0.6568
Te: 0.6648 0.8089 0.6484
Te: 0.8352 0.3089 0.1484
Te: 0.9059 0.9129 0.1568

## Properties
Its raw total energy is -4.579 eV per atom. The calculation puts the formation energy without anion corrections at -0.12 eV per atom. As for the symmetry: Pna2_1. As for the total magnetization: 16.00 Bohr magnetons per cell.

=====

Material: Ba3Re2
Method: DFT, PBE
State: relaxed

Lattice parameters (Å, degrees): 4.9752 4.9752 9.6497 90.00 90.00 120.00
Element x y z (fractional)
Ba: 0.0000 0.0000 0.0000
Ba: 0.3333 0.6667 0.3038
Ba: 0.6667 0.3333 0.6962
Re: 0.3333 0.6667 0.9792
Re: 0.6667 0.3333 0.0208

## Properties
Its raw total energy is -4.993 eV per atom. As for the symmetry: P-3m1. As for the energy of formation: 550.0 kJ/mol of formula units. As for the total magnetization: 0.71 Bohr magnetons per cell. Its energy above the lowest structure with this stoichiometry is 0.0 meV/atom.

=====

- Which of these has the highest raw total energy?
  MnTlTe2

=====

- What is the raw total energy in the first record?
  -4.579 eV per atom

=====

Please write out number 2 again, unchanged.
Material: Ba3Re2
Method: DFT, PBE
State: relaxed

Lattice parameters (Å, degrees): 4.9752 4.9752 9.6497 90.00 90.00 120.00
Element x y z (fractional)
Ba: 0.0000 0.0000 0.0000
Ba: 0.3333 0.6667 0.3038
Ba: 0.6667 0.3333 0.6962
Re: 0.3333 0.6667 0.9792
Re: 0.6667 0.3333 0.0208

## Properties
Its raw total energy is -4.993 eV per atom. As for the symmetry: P-3m1. As for the energy of formation: 550.0 kJ/mol of formula units. As for the total magnetization: 0.71 Bohr magnetons per cell. Its energy above the lowest structure with this stoichiometry is 0.0 meV/atom.

=====

- raw total energy of number 1 (MnTlTe2)?
  -4.579 eV per atom